(1)
## TmCuPt3 (PBE-GGA)

Data for a relaxed TmCuPt3 crystal.

Computed properties:
E_form = -584 meV per atom
Volume = 178 Å³ per cell
Energy above the most stable polymorph in this dataset = 11 meV per atom
Space-group type = P6_3/mmc, No. 194

Cell and atoms, written as extended XYZ:
```
10
Lattice="6.360 0.000 0.000 -3.180 5.508 0.000 0.000 0.000 5.093" Properties=species:S:1:pos:R:3 pbc="T T T"
Tm 0.000 3.672 1.273
Tm 3.180 1.836 3.820
Cu 0.000 0.000 0.000
Cu 0.000 0.000 2.546
Pt 0.000 2.140 3.820
Pt -1.327 4.439 3.820
Pt 1.853 1.070 1.273
Pt 1.327 4.439 3.820
Pt 4.508 1.070 1.273
Pt 3.180 3.369 1.273
```

***

(2)
## Li2YSb (PBE-GGA)

Data for a relaxed Li2YSb crystal.

Computed properties:
Raw formation energy = -0.567 eV per atom
Volume = 92 Å³ per cell
Space-group type = P4/mmm, No. 123

Cell and atoms, written as extended XYZ:
```
4
Lattice="4.368 0.000 0.000 0.000 4.368 0.000 0.000 0.000 4.823" Properties=species:S:1:pos:R:3 pbc="T T T"
Li 0.000 2.184 0.000
Li 2.184 0.000 0.000
Y 0.000 0.000 2.412
Sb 2.184 2.184 2.412
```

***

(3)
## NaSn4Br8 (PBE-GGA)

Data for a relaxed NaSn4Br8 crystal.

Computed properties:
Raw formation energy = -0.749 eV per atom
Volume = 478 Å³ per cell
Energy above the most stable polymorph in this dataset = 3 meV per atom
Space-group type = R-3m, No. 166

Cell and atoms, written as extended XYZ:
```
13
Lattice="4.514 2.606 6.764 -4.514 2.606 6.764 0.000 -5.213 6.764" Properties=species:S:1:pos:R:3 pbc="T T T"
Na 0.000 0.000 0.000
Sn -4.514 0.000 10.146
Sn -2.257 1.303 3.382
Sn 2.257 1.303 3.382
Sn 0.000 0.000 10.146
Br -2.280 -1.316 11.766
Br 0.000 0.000 4.942
Br 0.000 -2.633 8.525
Br -2.280 1.316 8.525
Br 2.280 -1.316 11.766
Br 0.000 2.633 11.766
Br 0.000 0.000 15.349
Br 2.280 1.316 8.525
```

***

(4)
## Ho2NiIr (PBE-GGA)

Data for a relaxed Ho2NiIr crystal.

Computed properties:
E_form = -695 meV per atom
Volume = 165 Å³ per cell
Space-group type = P2_1/m, No. 11

Cell and atoms, written as extended XYZ:
```
8
Lattice="5.584 0.000 0.000 0.000 4.089 0.000 -2.654 0.000 7.232" Properties=species:S:1:pos:R:3 pbc="T T T"
Ho 0.043 1.022 3.124
Ho -1.254 1.022 6.693
Ho 4.184 3.067 0.538
Ho 2.887 3.067 4.108
Ni 1.380 3.067 1.511
Ni 1.550 1.022 5.721
Ir 0.073 3.067 5.171
Ir 2.857 1.022 2.061
```

***

These records have M_tot values of 0.000; 0.000; 0.000; 0.000 μB/cell, in the order they appear.
These records have energy values of -29.612; -16.683; -40.448; -26.579 eV/f.u., in the order they appear.
These records have density of states at the Fermi level values of 1.58; 0.74; 2.70; 2.12 states/eV/f.u., in the order they appear.